1.
# PrNdY2

A relaxed PrNdY2 crystal (PBE-GGA, Alexandria).

Cell lengths 6.305, 3.664, 11.986 Å; angles 90.00, 100.10, 90.00 degrees
Atoms (fractional coordinates):
Pr 0.000 0.000 0.000
Pr 0.418 0.000 0.250
Nd 0.334 0.500 0.502
Nd 0.751 0.500 0.750
Y 0.252 0.000 0.752
Y 0.500 0.500 0.998
Y 0.833 0.000 0.500
Y 0.918 0.500 0.252

Values from the calculation:
space group	Pm
excess energy over the best structure of this formula in the dataset	0.0036	eV per atom
formation energy	0.0114	eV per atom
spin magnetization	0.00	Bohr magnetons per cell
density of states at the Fermi level	1.5765	states/eV per atom

***

2.
# Pr8NdY5

A relaxed Pr8NdY5 crystal (PBE-GGA, Alexandria).

Cell lengths 8.675, 8.675, 8.675 Å; angles 111.44, 111.44, 105.60 degrees
Atoms (fractional coordinates):
Pr 0.073 0.333 0.603
Pr 0.159 0.431 0.088
Pr 0.344 0.071 0.912
Pr 0.531 0.927 0.261
Pr 0.569 0.656 0.728
Pr 0.667 0.270 0.739
Pr 0.730 0.469 0.397
Pr 0.929 0.841 0.272
Nd 0.250 0.750 0.500
Y 0.037 0.724 0.909
Y 0.276 0.184 0.313
Y 0.500 0.500 0.000
Y 0.816 0.128 0.091
Y 0.872 0.963 0.687

Values from the calculation:
space group	I-4
formation energy	0.2382	eV per atom
spin magnetization	0.00	Bohr magnetons per cell
density of states at the Fermi level	1.5319	states/eV per atom

***

3.
# Pr7NdY4

A relaxed Pr7NdY4 crystal (PBE-GGA, Alexandria).

Cell lengths 6.131, 7.306, 10.160 Å; angles 111.05, 90.40, 90.05 degrees
Atoms (fractional coordinates):
Pr 0.000 0.000 0.000
Pr 0.248 0.709 0.416
Pr 0.250 0.188 0.376
Pr 0.251 0.534 0.069
Pr 0.749 0.466 0.931
Pr 0.750 0.812 0.624
Pr 0.752 0.291 0.584
Nd 0.500 0.000 0.000
Y 0.252 0.592 0.724
Y 0.253 0.132 0.724
Y 0.747 0.868 0.276
Y 0.748 0.408 0.276

Values from the calculation:
space group	P-1
excess energy over the best structure of this formula in the dataset	0.0000	eV per atom
formation energy	0.1324	eV per atom
spin magnetization	0.31	Bohr magnetons per cell
density of states at the Fermi level	2.0136	states/eV per atom

***

4.
# Pr6NdY

A relaxed Pr6NdY crystal (PBE-GGA, Alexandria).

Cell lengths 5.224, 5.224, 10.441 Å; angles 90.00, 90.00, 90.00 degrees
Atoms (fractional coordinates):
Pr 0.000 0.000 0.000
Pr 0.000 0.000 0.500
Pr 0.000 0.500 0.249
Pr 0.000 0.500 0.751
Pr 0.500 0.000 0.249
Pr 0.500 0.000 0.751
Nd 0.500 0.500 0.500
Y 0.500 0.500 0.000

Values from the calculation:
space group	P4/mmm
formation energy	0.0125	eV per atom
spin magnetization	0.00	Bohr magnetons per cell
density of states at the Fermi level	1.7321	states/eV per atom

***

5.
# Pr3Nd12Y

A relaxed Pr3Nd12Y crystal (PBE-GGA, Alexandria).

Cell lengths 5.208, 5.208, 20.802 Å; angles 90.00, 90.00, 90.00 degrees
Atoms (fractional coordinates):
Pr 0.000 0.000 0.000
Pr 0.000 0.000 0.251
Pr 0.000 0.000 0.749
Nd 0.000 0.500 0.125
Nd 0.000 0.500 0.377
Nd 0.000 0.500 0.623
Nd 0.000 0.500 0.875
Nd 0.500 0.000 0.125
Nd 0.500 0.000 0.377
Nd 0.500 0.000 0.623
Nd 0.500 0.000 0.875
Nd 0.500 0.500 0.000
Nd 0.500 0.500 0.251
Nd 0.500 0.500 0.500
Nd 0.500 0.500 0.749
Y 0.000 0.000 0.500

Values from the calculation:
space group	P4/mmm
formation energy	0.0109	eV per atom
spin magnetization	0.00	Bohr magnetons per cell
density of states at the Fermi level	1.5612	states/eV per atom

***

6.
# Pr8NdY6

A relaxed Pr8NdY6 crystal (PBE-GGA, Alexandria).

Cell lengths 8.854, 8.854, 8.854 Å; angles 62.94, 62.94, 62.94 degrees
Atoms (fractional coordinates):
Pr 0.078 0.078 0.078
Pr 0.215 0.253 0.614
Pr 0.253 0.614 0.215
Pr 0.386 0.785 0.747
Pr 0.614 0.215 0.253
Pr 0.747 0.386 0.785
Pr 0.785 0.747 0.386
Pr 0.922 0.922 0.922
Nd 0.500 0.500 0.500
Y 0.037 0.752 0.595
Y 0.248 0.405 0.963
Y 0.405 0.963 0.248
Y 0.595 0.037 0.752
Y 0.752 0.595 0.037
Y 0.963 0.248 0.405

Values from the calculation:
space group	R-3
formation energy	0.1136	eV per atom
spin magnetization	0.00	Bohr magnetons per cell
density of states at the Fermi level	1.5624	states/eV per atom

***

7.
# Pr7NdY4

A relaxed Pr7NdY4 crystal (PBE-GGA, Alexandria).

Cell lengths 8.747, 8.747, 9.558 Å; angles 114.91, 114.91, 40.77 degrees
Atoms (fractional coordinates):
Pr 0.000 0.000 0.000
Pr 0.286 0.286 0.116
Pr 0.288 0.288 0.764
Pr 0.414 0.414 0.550
Pr 0.586 0.586 0.450
Pr 0.712 0.712 0.236
Pr 0.714 0.714 0.884
Nd 0.500 0.500 0.000
Y 0.071 0.071 0.699
Y 0.170 0.170 0.383
Y 0.830 0.830 0.617
Y 0.929 0.929 0.301

Values from the calculation:
space group	C2/m
excess energy over the best structure of this formula in the dataset	0.0616	eV per atom
formation energy	0.1939	eV per atom
spin magnetization	0.11	Bohr magnetons per cell
density of states at the Fermi level	1.6743	states/eV per atom

***

8.
# Pr2NdY2

A relaxed Pr2NdY2 crystal (PBE-GGA, Alexandria).

Cell lengths 5.695, 5.695, 6.393 Å; angles 109.13, 109.13, 64.28 degrees
Atoms (fractional coordinates):
Pr 0.100 0.100 0.302
Pr 0.900 0.900 0.698
Nd 0.500 0.500 0.500
Y 0.301 0.301 0.907
Y 0.699 0.699 0.093

Values from the calculation:
space group	C2/m
excess energy over the best structure of this formula in the dataset	0.0000	eV per atom
formation energy	0.1042	eV per atom
spin magnetization	0.00	Bohr magnetons per cell
density of states at the Fermi level	2.0316	states/eV per atom